Entry 1:
This record from Alexandria describes CoNiMo2Ir after structural relaxation. The functional is PBE.

Calculated values
Energy relative to the elements (eV per formula unit): 7.658
Uncorrected energy (eV/atom): -7.15
Calculated volume (Å³/f.u.): 84.52
Space group: P4/mmm (123)

Cell lengths 4.3527, 4.3527, 4.4613 Å; angles 90.00, 90.00, 90.00 degrees
Sites, in units of the cell vectors:
Co  0.0000  0.0000  0.0000
Ni  0.5000  0.5000  0.5000
Mo  0.0000  0.5000  0.5000
Mo  0.5000  0.0000  0.5000
Ir  0.5000  0.5000  0.0000



Entry 2:
This record from Alexandria describes ZrFe2Si after structural relaxation. The functional is PBE.

Calculated values
Uncorrected energy (eV/atom): -7.61
Calculated volume (Å³/f.u.): 60.47
Space group: R3m (160)
Uncorrected formation energy (eV per atom): 0.1119

Cell lengths 8.3681, 8.3681, 8.3681 Å; angles 20.09, 20.09, 20.09 degrees
Sites, in units of the cell vectors:
Zr  0.0000  0.0000  0.0000
Fe  0.4994  0.4994  0.4994
Fe  0.7604  0.7604  0.7604
Si  0.2365  0.2365  0.2365



Entry 3:
This record from Alexandria describes As2Cl after structural relaxation. The functional is PBE.

Calculated values
Uncorrected energy (eV/atom): -3.77
Calculated volume (Å³/f.u.): 81.91
Space group: Pnma (62)
Energy relative to the lowest polymorph listed for this composition (kJ/mol of formula units): 62
Uncorrected formation energy (eV per atom): -0.0572

Cell lengths 5.1425, 5.8928, 10.8113 Å; angles 90.00, 90.00, 90.00 degrees
Sites, in units of the cell vectors:
As  0.0140  0.2500  0.0144
As  0.0977  0.2500  0.2370
As  0.4023  0.7500  0.7370
As  0.4860  0.7500  0.5144
As  0.5140  0.2500  0.4856
As  0.5977  0.2500  0.2630
As  0.9023  0.7500  0.7630
As  0.9860  0.7500  0.9856
Cl  0.0941  0.7500  0.4262
Cl  0.4059  0.2500  0.9262
Cl  0.5941  0.7500  0.0738
Cl  0.9059  0.2500  0.5738



Entry 4:
This record from Alexandria describes TaZn2Ru after structural relaxation. The functional is PBE.

Calculated values
Energy relative to the elements (eV per formula unit): 1.800
Uncorrected energy (eV/atom): -5.47
Calculated volume (Å³/f.u.): 64.88
Space group: I-42d (122)
Energy relative to the lowest polymorph listed for this composition (kJ/mol of formula units): 218

Cell lengths 5.6371, 5.6371, 5.6371 Å; angles 102.15, 102.15, 125.39 degrees
Sites, in units of the cell vectors:
Ta  0.0000  0.0000  0.0000
Ta  0.7500  0.2500  0.5000
Zn  0.1410  0.6250  0.0160
Zn  0.3750  0.3910  0.5160
Zn  0.6090  0.1250  0.9840
Zn  0.8750  0.8590  0.4840
Ru  0.2500  0.7500  0.5000
Ru  0.5000  0.5000  0.0000



Entry 5:
This record from Alexandria describes TlSi2HgC after structural relaxation. The functional is PBE.

Calculated values
Uncorrected energy (eV/atom): -3.54
Calculated volume (Å³/f.u.): 103.51
Space group: P4/mmm (123)
Uncorrected formation energy (eV per atom): 1.0092

Cell lengths 4.1084, 4.1084, 6.1327 Å; angles 90.00, 90.00, 90.00 degrees
Sites, in units of the cell vectors:
Tl  0.0000  0.0000  0.0000
Si  0.0000  0.5000  0.5000
Si  0.5000  0.0000  0.5000
Hg  0.5000  0.5000  0.0000
C  0.5000  0.5000  0.5000



Entry 6:
This record from Alexandria describes AcMgIn2 after structural relaxation. The functional is PBE.

Calculated values
Energy relative to the elements (eV per formula unit): -1.207
Uncorrected energy (eV/atom): -3.10
Calculated volume (Å³/f.u.): 117.82
Space group: P4/mmm (123)

Cell lengths 4.9384, 4.9384, 4.8312 Å; angles 90.00, 90.00, 90.00 degrees
Sites, in units of the cell vectors:
Ac  0.0000  0.0000  0.0000
Mg  0.5000  0.5000  0.0000
In  0.0000  0.5000  0.5000
In  0.5000  0.0000  0.5000



Entry 7:
This record from Alexandria describes InAgS after structural relaxation. The functional is PBE.

Calculated values
Uncorrected energy (eV/atom): -3.45
Calculated volume (Å³/f.u.): 67.89
Space group: Cmc2_1 (36)
Uncorrected formation energy (eV per atom): -0.2105

Cell lengths 6.9950, 6.9950, 5.3780 Å; angles 90.00, 90.00, 148.94 degrees
Sites, in units of the cell vectors:
In  0.1364  0.8636  0.5000
In  0.8636  0.1364  0.0000
Ag  0.4554  0.5446  0.3540
Ag  0.5446  0.4554  0.8540
S  0.3195  0.6805  0.6785
S  0.6805  0.3195  0.1785



Entry 8:
This record from Alexandria describes AlCrAg2 after structural relaxation. The functional is PBE.

Calculated values
Energy relative to the elements (eV per formula unit): 1.358
Uncorrected energy (eV/atom): -4.43
Calculated volume (Å³/f.u.): 68.41
Space group: R-3m (166)

Cell lengths 9.1761, 9.1761, 9.1761 Å; angles 18.56, 18.56, 18.56 degrees
Sites, in units of the cell vectors:
Al  0.0000  0.0000  0.0000
Cr  0.5000  0.5000  0.5000
Ag  0.2520  0.2520  0.2520
Ag  0.7480  0.7480  0.7480



Entry 9:
This record from Alexandria describes BaHgTe2I after structural relaxation. The functional is PBE.

Calculated values
Uncorrected energy (eV/atom): -2.60
Calculated volume (Å³/f.u.): 199.92
Space group: P4/mmm (123)
Energy relative to the lowest polymorph listed for this composition (kJ/mol of formula units): 0
Uncorrected formation energy (eV per atom): -0.5874

Cell lengths 5.6353, 5.6353, 6.2953 Å; angles 90.00, 90.00, 90.00 degrees
Sites, in units of the cell vectors:
Ba  0.0000  0.0000  0.0000
Hg  0.5000  0.5000  0.5000
Te  0.0000  0.5000  0.5000
Te  0.5000  0.0000  0.5000
I  0.5000  0.5000  0.0000



Entry 10:
This record from Alexandria describes Nd2YPuP4 after structural relaxation. The functional is PBE.

Calculated values
Energy relative to the elements (eV per formula unit): -11.602
Uncorrected energy (eV/atom): -7.95
Calculated volume (Å³/f.u.): 192.38
Space group: P2/m (10)

Cell lengths 7.0576, 4.0898, 7.0694 Å; angles 90.00, 109.47, 90.00 degrees
Sites, in units of the cell vectors:
Nd  0.0000  0.0000  0.0000
Nd  0.5000  0.5000  0.0000
Y  0.0000  0.5000  0.5000
Pu  0.5000  0.0000  0.5000
P  0.2490  0.0000  0.7387
P  0.2574  0.5000  0.2637
P  0.7426  0.5000  0.7363
P  0.7510  0.0000  0.2613



Entry 11:
This record from Alexandria describes Dy5Ho8Th after structural relaxation. The functional is PBE.

Calculated values
Energy relative to the elements (eV per formula unit): 4.049
Uncorrected energy (eV/atom): -4.50
Calculated volume (Å³/f.u.): 455.34
Space group: I-4 (82)

Cell lengths 8.3981, 8.3981, 8.3981 Å; angles 110.69, 110.69, 107.06 degrees
Sites, in units of the cell vectors:
Dy  0.0000  0.0000  0.0000
Dy  0.3058  0.2078  0.6735
Dy  0.3677  0.6942  0.9020
Dy  0.5343  0.6323  0.3265
Dy  0.7922  0.4657  0.0980
Ho  0.0194  0.7624  0.6042
Ho  0.0803  0.3441  0.9199
Ho  0.1583  0.4152  0.3958
Ho  0.2376  0.8417  0.2570
Ho  0.4242  0.1605  0.0801
Ho  0.5848  0.9806  0.7430
Ho  0.6559  0.5758  0.7362
Ho  0.8395  0.9197  0.2638
Th  0.7500  0.2500  0.5000



Entry 12:
This record from Alexandria describes Tb2TlHg6 after structural relaxation. The functional is PBE.

Calculated values
Energy relative to the elements (eV per formula unit): -2.124
Uncorrected energy (eV/atom): -1.73
Calculated volume (Å³/f.u.): 227.11
Space group: C2/m (12)

Cell lengths 8.7876, 8.7876, 3.3960 Å; angles 90.02, 90.02, 60.00 degrees
Sites, in units of the cell vectors:
Tb  0.1666  0.1666  0.0001
Tb  0.8334  0.8334  0.9999
Tl  0.5000  0.5000  0.0000
Hg  0.1655  0.5000  0.5030
Hg  0.1655  0.8345  0.5000
Hg  0.5000  0.1655  0.5030
Hg  0.5000  0.8345  0.4970
Hg  0.8345  0.1655  0.5000
Hg  0.8345  0.5000  0.4970